1.
VASP calculation (PBE) on a geometry-optimized ZnCrMo structure. Values from VASP.

The structure in Quantum ESPRESSO input format:
```
&SYSTEM
  ibrav = 0, nat = 3, ntyp = 3
/
ATOMIC_SPECIES
Cr 52.00 Cr.upf
Mo 95.94 Mo.upf
Zn 65.41 Zn.upf
CELL_PARAMETERS angstrom
4.304 0.000 0.000
-2.152 3.727 0.000
0.000 0.000 2.595
ATOMIC_POSITIONS crystal
Cr 0.000 0.000 0.024
Mo 0.333 0.667 0.285
Zn 0.667 0.333 0.692
```

electronic total energy = -7.10 eV/atom
crystal system = trigonal
ρ = 8.51 g cm⁻³
D(E_F) = 0.49 states/eV/atom
magnetization = 0.000 μB per atom
energy of formation from the pure elements = 143 meV per atom
distance to the lowest polymorph of the same formula = 0.0 kJ per mole of atoms



2.
VASP calculation (PBE) on a geometry-optimized Sc2AgPb structure. Values from VASP.

The structure in Quantum ESPRESSO input format:
```
&SYSTEM
  ibrav = 0, nat = 4, ntyp = 3
/
ATOMIC_SPECIES
Ag 107.87 Ag.upf
Pb 207.20 Pb.upf
Sc 44.96 Sc.upf
CELL_PARAMETERS angstrom
-2.727 5.513 6.687
-2.192 2.503 8.454
0.520 4.661 7.781
ATOMIC_POSITIONS crystal
Ag 0.250 0.250 0.250
Pb 0.750 0.750 0.750
Sc 0.993 0.993 0.993
Sc 0.507 0.507 0.507
```

electronic total energy = -4.93 eV/atom
crystal system = trigonal
ρ = 7.03 g cm⁻³
D(E_F) = 1.29 states/eV/atom
magnetization = 0.000 μB per atom
energy of formation from the pure elements = -123 meV per atom



3.
VASP calculation (PBE) on a geometry-optimized Te2MoCI structure. Values from VASP.

The structure in Quantum ESPRESSO input format:
```
&SYSTEM
  ibrav = 0, nat = 5, ntyp = 4
/
ATOMIC_SPECIES
I 126.90 I.upf
Mo 95.94 Mo.upf
Te 127.60 Te.upf
C 12.01 C.upf
CELL_PARAMETERS angstrom
-5.214 -0.483 -0.040
0.281 -3.370 3.998
-0.430 4.335 3.684
ATOMIC_POSITIONS crystal
I 0.000 0.000 0.500
Mo 0.000 0.000 0.000
Te 0.000 0.500 0.000
Te 0.500 0.000 0.000
C 0.500 0.500 0.500
```

electronic total energy = -3.88 eV/atom
crystal system = tetragonal
ρ = 5.20 g cm⁻³
ΔE_f (raw) = 1.7023 eV per atom
D(E_F) = 0.91 states/eV/atom
magnetization = 0.608 μB per atom
distance to the lowest polymorph of the same formula = 17.7 kJ per mole of atoms



4.
VASP calculation (PBE) on a geometry-optimized Na2PuNbN4 structure. Values from VASP.

The structure in Quantum ESPRESSO input format:
```
&SYSTEM
  ibrav = 0, nat = 8, ntyp = 4
/
ATOMIC_SPECIES
Na 22.99 Na.upf
Pu 244.00 Pu.upf
Nb 92.91 Nb.upf
N 14.01 N.upf
CELL_PARAMETERS angstrom
3.310 0.000 0.000
0.000 5.678 0.123
0.000 -1.963 5.647
ATOMIC_POSITIONS crystal
Na 0.500 0.000 0.500
Na 0.000 0.500 0.500
Pu 0.000 0.000 0.000
Nb 0.500 0.500 0.000
N 0.500 0.241 0.191
N 0.500 0.759 0.809
N 0.000 0.274 0.810
N 0.000 0.726 0.190
```

electronic total energy = -8.30 eV/atom
crystal system = monoclinic
ρ = 6.82 g cm⁻³
ΔE_f (raw) = -0.7582 eV per atom
D(E_F) = 0.62 states/eV/atom
magnetization = 0.375 μB per atom



5.
VASP calculation (PBE) on a geometry-optimized Pm2Sm5Ho6 structure. Values from VASP.

The structure in Quantum ESPRESSO input format:
```
&SYSTEM
  ibrav = 0, nat = 26, ntyp = 3
/
ATOMIC_SPECIES
Pm 145.00 Pm.upf
Sm 150.36 Sm.upf
Ho 164.93 Ho.upf
CELL_PARAMETERS angstrom
-2.851 1.827 1.199
-6.293 -9.867 0.078
5.828 -3.564 19.279
ATOMIC_POSITIONS crystal
Pm 0.000 0.329 0.286
Pm 0.000 0.671 0.714
Pm 0.000 0.829 0.214
Pm 0.000 0.171 0.786
Sm 0.500 0.300 0.450
Sm 0.500 0.700 0.550
Sm 0.500 0.800 0.050
Sm 0.500 0.200 0.950
Sm 0.500 0.586 0.276
Sm 0.500 0.414 0.724
Sm 0.500 0.086 0.224
Sm 0.500 0.914 0.776
Sm 0.500 0.500 0.000
Sm 0.500 0.000 0.500
Ho 0.000 0.078 0.367
Ho 0.000 0.922 0.633
Ho 0.000 0.578 0.133
Ho 0.000 0.422 0.867
Ho 0.500 0.322 0.132
Ho 0.500 0.678 0.868
Ho 0.500 0.822 0.368
Ho 0.500 0.178 0.632
Ho 0.000 0.560 0.421
Ho 0.000 0.440 0.579
Ho 0.000 0.060 0.079
Ho 0.000 0.940 0.921
```

electronic total energy = -4.56 eV/atom
crystal system = orthorhombic
ρ = 7.85 g cm⁻³
D(E_F) = 1.25 states/eV/atom
magnetization = 0.000 μB per atom
energy of formation from the pure elements = 96 meV per atom



6.
VASP calculation (PBE) on a geometry-optimized LuCdPt2 structure. Values from VASP.

The structure in Quantum ESPRESSO input format:
```
&SYSTEM
  ibrav = 0, nat = 4, ntyp = 3
/
ATOMIC_SPECIES
Lu 174.97 Lu.upf
Pt 195.08 Pt.upf
Cd 112.41 Cd.upf
CELL_PARAMETERS angstrom
3.534 0.000 0.000
0.000 3.534 0.000
0.000 0.000 6.005
ATOMIC_POSITIONS crystal
Lu 0.500 0.500 0.000
Pt 0.000 0.000 0.747
Pt 0.000 0.000 0.253
Cd 0.500 0.500 0.500
```

electronic total energy = -5.28 eV/atom
crystal system = tetragonal
ρ = 15.00 g cm⁻³
D(E_F) = 0.35 states/eV/atom
magnetization = 0.000 μB per atom
energy of formation from the pure elements = -904 meV per atom



7.
VASP calculation (PBE) on a geometry-optimized Nd5Ir2Au2 structure. Values from VASP.

The structure in Quantum ESPRESSO input format:
```
&SYSTEM
  ibrav = 0, nat = 18, ntyp = 3
/
ATOMIC_SPECIES
Nd 144.24 Nd.upf
Ir 192.22 Ir.upf
Au 196.97 Au.upf
CELL_PARAMETERS angstrom
-4.761 5.072 3.811
-6.218 -3.334 -3.330
2.589 -3.251 7.561
ATOMIC_POSITIONS crystal
Nd 0.000 0.000 0.000
Nd 0.500 0.500 0.000
Nd 0.829 0.799 0.256
Nd 0.171 0.456 0.256
Nd 0.329 0.956 0.256
Nd 0.671 0.299 0.256
Nd 0.171 0.201 0.744
Nd 0.829 0.544 0.744
Nd 0.671 0.044 0.744
Nd 0.329 0.701 0.744
Ir 0.628 0.872 0.000
Ir 0.372 0.128 0.000
Ir 0.128 0.628 0.000
Ir 0.872 0.372 0.000
Au 0.000 0.207 0.414
Au 0.500 0.707 0.414
Au 0.000 0.793 0.586
Au 0.500 0.293 0.586
```

electronic total energy = -6.04 eV/atom
crystal system = orthorhombic
ρ = 10.46 g cm⁻³
D(E_F) = 0.98 states/eV/atom
magnetization = 0.000 μB per atom
energy of formation from the pure elements = -692 meV per atom



8.
VASP calculation (PBE) on a geometry-optimized LiZn2PbF8 structure. Values from VASP.

The structure in Quantum ESPRESSO input format:
```
&SYSTEM
  ibrav = 0, nat = 12, ntyp = 4
/
ATOMIC_SPECIES
Li 6.94 Li.upf
Zn 65.41 Zn.upf
Pb 207.20 Pb.upf
F 19.00 F.upf
CELL_PARAMETERS angstrom
-1.552 4.590 1.132
-4.728 -1.528 0.048
0.515 -1.394 6.361
ATOMIC_POSITIONS crystal
Li 0.000 0.000 0.000
Zn 0.500 0.500 0.772
Zn 0.500 0.500 0.228
Pb 0.000 0.000 0.500
F 0.207 0.792 0.235
F 0.695 0.696 0.000
F 0.793 0.208 0.235
F 0.793 0.208 0.765
F 0.305 0.304 0.000
F 0.207 0.792 0.765
F 0.676 0.677 0.500
F 0.324 0.323 0.500
```

electronic total energy = -4.23 eV/atom
crystal system = monoclinic
ρ = 5.11 g cm⁻³
ΔE_f (raw) = -2.2974 eV per atom
D(E_F) = 0.31 states/eV/atom
magnetization = 0.000 μB per atom



9.
VASP calculation (PBE) on a geometry-optimized Pu3Tl5Se12 structure. Values from VASP.

The structure in Quantum ESPRESSO input format:
```
&SYSTEM
  ibrav = 0, nat = 80, ntyp = 3
/
ATOMIC_SPECIES
Pu 244.00 Pu.upf
Tl 204.38 Tl.upf
Se 78.96 Se.upf
CELL_PARAMETERS angstrom
14.574 0.000 0.000
-4.858 13.741 0.000
-4.858 -6.870 11.900
ATOMIC_POSITIONS crystal
Pu 0.750 0.375 0.125
Pu 0.875 0.750 0.125
Pu 0.375 0.750 0.625
Pu 0.250 0.125 0.375
Pu 0.875 0.125 0.250
Pu 0.375 0.625 0.250
Pu 0.625 0.375 0.750
Pu 0.125 0.875 0.750
Pu 0.750 0.875 0.625
Pu 0.625 0.250 0.375
Pu 0.125 0.250 0.875
Pu 0.250 0.625 0.875
Tl 0.125 0.375 0.250
Tl 0.000 0.500 0.000
Tl 0.000 0.000 0.000
Tl 0.375 0.250 0.125
Tl 0.500 0.000 0.500
Tl 0.500 0.500 0.000
Tl 0.125 0.750 0.375
Tl 0.750 0.125 0.875
Tl 0.750 0.625 0.375
Tl 0.375 0.125 0.750
Tl 0.625 0.875 0.250
Tl 0.500 0.500 0.500
Tl 0.500 0.000 0.000
Tl 0.000 0.000 0.500
Tl 0.250 0.375 0.625
Tl 0.250 0.875 0.125
Tl 0.000 0.500 0.500
Tl 0.875 0.250 0.625
Tl 0.625 0.750 0.875
Tl 0.875 0.625 0.750
Se 0.728 0.141 0.056
Se 0.327 0.556 0.415
Se 0.944 0.359 0.272
Se 0.556 0.228 0.141
Se 0.587 0.728 0.673
Se 0.944 0.585 0.173
Se 0.327 0.772 0.413
Se 0.085 0.913 0.141
Se 0.585 0.944 0.673
Se 0.728 0.587 0.173
Se 0.772 0.444 0.359
Se 0.827 0.915 0.056
Se 0.141 0.728 0.556
Se 0.359 0.415 0.087
Se 0.087 0.915 0.359
Se 0.413 0.141 0.585
Se 0.087 0.173 0.228
Se 0.444 0.673 0.085
Se 0.827 0.913 0.272
Se 0.141 0.413 0.085
Se 0.359 0.944 0.772
Se 0.585 0.641 0.413
Se 0.915 0.827 0.556
Se 0.772 0.327 0.913
Se 0.415 0.359 0.587
Se 0.085 0.173 0.444
Se 0.228 0.673 0.087
Se 0.173 0.087 0.728
Se 0.641 0.056 0.228
Se 0.859 0.587 0.915
Se 0.556 0.327 0.915
Se 0.587 0.859 0.415
Se 0.913 0.827 0.772
Se 0.913 0.085 0.641
Se 0.859 0.272 0.444
Se 0.173 0.085 0.944
Se 0.641 0.585 0.913
Se 0.415 0.056 0.327
Se 0.272 0.413 0.827
Se 0.228 0.556 0.641
Se 0.915 0.087 0.859
Se 0.673 0.228 0.587
Se 0.444 0.772 0.859
Se 0.056 0.415 0.827
Se 0.413 0.272 0.327
Se 0.056 0.641 0.728
Se 0.673 0.444 0.585
Se 0.272 0.859 0.944
```

electronic total energy = -5.41 eV/atom
crystal system = cubic
ρ = 7.53 g cm⁻³
ΔE_f (raw) = -0.5804 eV per atom
D(E_F) = 1.55 states/eV/atom
magnetization = 0.698 μB per atom



Question: Among the records above, which one has the lowest D(E_F)?
Answer: LiZn2PbF8



Question: Which of these has the lowest ρ?
Answer: LiZn2PbF8



Question: Look up the D(E_F) of the seventh one.
Answer: 0.98 states/eV/atom



Question: The lowest D(E_F) belongs to which entry?
Answer: LiZn2PbF8